(a)
Density functional theory data (PBE) for a geometry-optimized HgPSe structure.

POSCAR file:
```
HgPSe
1.0
1.3712 -4.3127 -1.0150
-2.7504 -3.6010 0.9889
-2.0697 -2.3461 -3.4238
Hg P Se
1 1 1
Direct
0.5000 0.5000 0.5000
0.2500 0.2500 0.2500
0.0000 0.0000 0.0000
```

Space group: F-43m
Total magnetic moment: 0.0 μB per formula unit
Crystal system: cubic

(b)
Density functional theory data (PBE) for a geometry-optimized HgPSe structure.

POSCAR file:
```
HgPSe
1.0
0.0000 3.5403 8.0087
1.6333 0.0000 8.0087
1.6333 3.5403 0.0000
Hg P Se
1 1 1
Direct
0.0118 0.0118 0.9882
0.6952 0.6952 0.3048
0.2929 0.2929 0.7071
```

Space group: Fmm2
Total magnetic moment: 0.0 μB per formula unit
Crystal system: orthorhombic

Energies relative to the minimum, meV per atom: (a) 307; (b) 0

(a)
Density functional theory data (PBE) for a geometry-optimized HgP2Se6 structure.

POSCAR file:
```
HgP2Se6
1.0
7.7928 0.0000 0.0000
0.0000 5.8034 -3.3506
0.0000 0.0000 6.7012
Hg P Se
1 2 6
Direct
0.0000 0.0000 0.0000
0.9182 0.3333 0.6667
0.0818 0.6667 0.3333
0.7523 0.6568 0.8284
0.7523 0.1716 0.8284
0.7523 0.1716 0.3432
0.2477 0.3432 0.1716
0.2477 0.8284 0.1716
0.2477 0.8284 0.6568
```

Space group: P-3m1
Total magnetic moment: 0.0 μB per formula unit
Crystal system: trigonal

(b)
Density functional theory data (PBE) for a geometry-optimized HgP2Se6 structure.

POSCAR file:
```
HgP2Se6
1.0
6.0073 0.4782 0.4630
2.2885 9.4613 -0.4651
2.2885 -0.1583 9.4714
Hg P Se
2 4 12
Direct
0.2500 0.2368 0.7632
0.7500 0.7632 0.2368
0.2134 0.6448 0.8081
0.2866 0.1919 0.3552
0.7866 0.3552 0.1919
0.7134 0.8081 0.6448
0.4340 0.7137 0.5952
0.0660 0.4048 0.2863
0.5660 0.2863 0.4048
0.9340 0.5952 0.7137
0.9005 0.8634 0.4300
0.5995 0.5700 0.1366
0.0995 0.1366 0.5700
0.4005 0.4300 0.8634
0.1068 0.8158 0.9807
0.3932 0.0193 0.1842
0.8932 0.1842 0.0193
0.6068 0.9807 0.8158
```

Space group: C2/c
Total magnetic moment: 0.0 μB per formula unit
Crystal system: monoclinic

Energies relative to the minimum, meV per atom: (a) 256; (b) 0

(a)
Density functional theory data (PBE) for a geometry-optimized Hg3PSe structure.

POSCAR file:
```
Hg3PSe
1.0
5.5213 0.0000 0.0000
0.0000 5.5213 0.0000
0.0000 0.0000 5.5213
P Hg Se
1 3 1
Direct
0.5000 0.5000 0.5000
0.0000 0.5000 0.0000
0.0000 0.0000 0.5000
0.5000 0.0000 0.0000
0.0000 0.0000 0.0000
```

Space group: Pm-3m
Total magnetic moment: 2.0 μB per formula unit
Crystal system: cubic

(b)
Density functional theory data (PBE) for a geometry-optimized Hg3PSe structure.

POSCAR file:
```
Hg3PSe
1.0
-1.6847 0.9720 4.7071
4.1921 -2.1426 1.9429
2.3510 4.5171 -0.0912
P Hg Se
1 3 1
Direct
0.0000 0.0000 0.0000
0.0000 0.5000 0.0000
0.0000 0.0000 0.5000
0.5000 0.0000 0.0000
0.5000 0.5000 0.5000
```

Space group: Pm-3m
Total magnetic moment: 0.0 μB per formula unit
Crystal system: cubic

Energies relative to the minimum, meV per atom: (a) 455; (b) 0

(a)
Density functional theory data (PBE) for a geometry-optimized SiHgP structure.

POSCAR file:
```
SiHgP
1.0
6.0988 -0.0135 0.0000
4.2986 4.3263 0.0000
-5.1987 -2.1564 2.3492
Hg P Si
1 1 1
Direct
0.9994 0.9994 0.0000
0.2261 0.2261 0.0000
0.7746 0.7746 0.0000
```

Space group: I4mm
Total magnetic moment: 0.0 μB per formula unit
Crystal system: tetragonal

(b)
Density functional theory data (PBE) for a geometry-optimized SiHgP structure.

POSCAR file:
```
SiHgP
1.0
-1.8866 2.5634 -1.4291
-3.9161 -4.1524 -2.2549
-0.2289 4.5861 8.4734
Hg Si P
2 2 2
Direct
0.7512 0.7735 0.8633
0.2488 0.2265 0.1367
0.2496 0.7457 0.4115
0.7504 0.2543 0.5885
0.7487 0.8907 0.6041
0.2513 0.1093 0.3959
```

Space group: P-1
Total magnetic moment: 0.0 μB per formula unit
Crystal system: triclinic

Energies relative to the minimum, meV per atom: (a) 51; (b) 0

(a)
Density functional theory data (PBE) for a geometry-optimized SiHgP structure.

POSCAR file:
```
SiHgP
1.0
4.5041 0.0000 0.0000
2.2521 3.9007 0.0000
2.2521 1.3002 3.6776
Hg P Si
1 1 1
Direct
0.5000 0.5000 0.5000
0.2500 0.2500 0.2500
0.0000 0.0000 0.0000
```

Space group: F-43m
Total magnetic moment: 0.0 μB per formula unit
Crystal system: cubic

(b)
Density functional theory data (PBE) for a geometry-optimized SiHgP structure.

POSCAR file:
```
SiHgP
1.0
-1.0885 4.3830 -0.4989
-1.7154 2.3280 3.5046
2.4937 3.2061 2.0362
Hg P Si
1 1 1
Direct
0.2500 0.2500 0.2500
0.0000 0.0000 0.0000
0.5000 0.5000 0.5000
```

Space group: F-43m
Total magnetic moment: 0.0 μB per formula unit
Crystal system: cubic

Energies relative to the minimum, meV per atom: (a) 0; (b) 172

(a)
Density functional theory data (PBE) for a geometry-optimized SiHgP structure.

POSCAR file:
```
SiHgP
1.0
-1.7254 -0.4134 -3.0962
-0.8615 -2.0276 2.8072
-3.7549 3.7915 1.5863
Hg P Si
1 1 1
Direct
0.0000 0.0000 0.9841
0.6667 0.3333 0.4116
0.3333 0.6667 0.6044
```

Space group: P3m1
Total magnetic moment: 0.0 μB per formula unit
Crystal system: trigonal

(b)
Density functional theory data (PBE) for a geometry-optimized SiHgP structure.

POSCAR file:
```
SiHgP
1.0
4.7082 0.0000 0.0000
-2.3541 4.0774 0.0000
0.0000 0.0000 2.8908
Hg P Si
1 1 1
Direct
0.0000 0.0000 0.0000
0.6667 0.3333 0.4990
0.3333 0.6667 0.5010
```

Space group: P-6m2
Total magnetic moment: 0.0 μB per formula unit
Crystal system: hexagonal

(c)
Density functional theory data (PBE) for a geometry-optimized SiHgP structure.

POSCAR file:
```
SiHgP
1.0
8.4069 0.0082 -0.0059
7.7189 2.8671 0.0253
0.6880 -0.8692 2.7238
Hg P Si
1 1 1
Direct
0.0019 0.0019 0.9981
0.2980 0.2980 0.7020
0.7001 0.7001 0.2999
```

Space group: Fmm2
Total magnetic moment: 0.0 μB per formula unit
Crystal system: orthorhombic

Energies relative to the minimum, meV per atom: (a) 0; (b) 540; (c) 320